Record 1
Material: MgSc2ZnH
Method: DFT, GGA-PBE
State: relaxed

extended XYZ file:
```
5
Lattice="4.3982 0.0000 0.0000 0.0000 4.3982 0.0000 0.0000 0.0000 4.2730" Properties=species:S:1:pos:R:3 pbc="T T T"
H 0.0000 0.0000 0.0000
Sc 2.1991 0.0000 0.0000
Sc 0.0000 2.1991 0.0000
Mg 0.0000 0.0000 2.1365
Zn 2.1991 2.1991 2.1365
```

Computed properties:
Energy above the most stable polymorph in this dataset = 0 meV/atom
Space-group type = P4/mmm (123)



Record 2
Material: ZnCo4Sb
Method: DFT, GGA-PBE
State: relaxed

extended XYZ file:
```
6
Lattice="0.0000 3.4344 3.4344 3.4344 0.0000 3.4344 3.4344 3.4344 0.0000" Properties=species:S:1:pos:R:3 pbc="T T T"
Co 4.2960 4.2960 2.5728
Sb 5.1516 5.1516 5.1516
Zn 0.0000 0.0000 0.0000
Co 4.2960 2.5728 4.2960
Co 2.5728 2.5728 2.5728
Co 2.5728 4.2960 4.2960
```

Computed properties:
Space-group type = F-43m (216)
Formation energy from raw total energies = 193 meV per atom